Entry 1:
Entry from Alexandria: a relaxed structure of RbMgV (PBE-GGA).

Cell: 4.4320 4.4477 12.7988 Å, 80.88 99.13 108.96°
Last column: nearest neighbours and their distance in Å.
Element x y z (fractional)
Mg1 0.5120 0.0029 0.2839  6 V 2.77-2.95
Mg2 0.1924 0.3263 0.4156  2 V 2.75-2.94
Rb1 0.8372 0.6829 0.6356  3 Mg 3.81-4.17
Rb2 0.4233 0.0894 0.9843  1 Mg 3.76, 6 V 3.79-4.20
V1 0.8685 0.6447 0.2352  1 V 1.85
V2 0.1033 0.4121 0.1967  1 V 1.85

Summary:
E_tot, eV/atom: -3.29
Volume, Å³ per cell: 234
Energy above the lowest structure with this stoichiometry, meV per atom: 104
Magnetization, μB per cell: 0.00
Energy relative to the elements, eV/atom: 0.60

=====

Entry 2:
Entry from Alexandria: a relaxed structure of RbMg2V (PBE-GGA).

Cell: 5.5062 5.5062 5.5062 Å, 60.00 60.00 60.00°
Last column: nearest neighbours and their distance in Å.
Element x y z (fractional)
Mg1 0.2500 0.2500 0.2500  4 Rb 3.37, 4 V 3.37
Mg2 0.7500 0.7500 0.7500  4 Rb 3.37, 4 V 3.37
Rb1 0.5000 0.5000 0.5000  8 Mg 3.37
V1 0.0000 0.0000 0.0000  8 Mg 3.37

Summary:
E_tot, eV/atom: -2.48
Volume, Å³ per cell: 118
Energy above the lowest structure with this stoichiometry, meV per atom: 0
Magnetization, μB per cell: 4.17
Energy relative to the elements, eV/atom: 0.84

=====

Entry 3:
Entry from Alexandria: a relaxed structure of RbMg2V2 (PBE-GGA).

Cell: 8.6398 8.6398 3.1743 Å, 90.00 90.00 90.00°
Last column: nearest neighbours and their distance in Å.
Element x y z (fractional)
Mg1 0.2007 0.7007 0.5000  6 V 3.07-3.14, 2 Mg 3.17
Mg2 0.7007 0.7993 0.5000  6 V 3.07-3.14, 2 Mg 3.17
Mg3 0.7993 0.2993 0.5000  6 V 3.07-3.14, 2 Mg 3.17
Mg4 0.2993 0.2007 0.5000  6 V 3.07-3.14, 2 Mg 3.17
Rb1 0.0000 0.0000 0.0000  2 Rb 3.17, 8 Mg 3.49
Rb2 0.5000 0.5000 0.0000  2 Rb 3.17, 8 Mg 3.49
V1 0.4228 0.9228 0.0000  1 V 1.89
V2 0.9228 0.5772 0.0000  1 V 1.89
V3 0.5772 0.0772 0.0000  1 V 1.89
V4 0.0772 0.4228 0.0000  1 V 1.89

Summary:
E_tot, eV/atom: -3.83
Volume, Å³ per cell: 237
Energy above the lowest structure with this stoichiometry, meV per atom: 0
Magnetization, μB per cell: 0.00
Energy relative to the elements, eV/atom: 0.65

=====

Entry 4:
Entry from Alexandria: a relaxed structure of RbMgV (PBE-GGA).

Cell: 5.7428 5.7428 6.6499 Å, 90.00 90.00 120.00°
Last column: nearest neighbours and their distance in Å.
Element x y z (fractional)
Mg1 0.3333 0.6667 0.7500  5 V 3.32, 6 Rb 3.71
Mg2 0.6667 0.3333 0.2500  5 V 3.32, 6 Rb 3.71
Rb1 0.0000 0.0000 0.0000  2 Rb 3.32, 6 V 3.71, 6 Mg 3.71
Rb2 0.0000 0.0000 0.5000  2 Rb 3.32, 6 V 3.71, 6 Mg 3.71
V1 0.3333 0.6667 0.2500  5 Mg 3.32, 6 Rb 3.71
V2 0.6667 0.3333 0.7500  5 Mg 3.32, 6 Rb 3.71

Summary:
E_tot, eV/atom: -2.80
Volume, Å³ per cell: 190
Energy above the lowest structure with this stoichiometry, meV per atom: 598
Magnetization, μB per cell: 8.55
Energy relative to the elements, eV/atom: 1.10

=====

Entry 5:
Entry from Alexandria: a relaxed structure of RbMgV (PBE-GGA).

Cell: 5.7548 5.7548 3.2553 Å, 90.00 90.00 120.00°
Last column: nearest neighbours and their distance in Å.
Element x y z (fractional)
Mg1 0.0000 0.0000 0.0000  2 Mg 3.26, 3 V 3.32
Rb1 0.6667 0.3333 0.5000  2 Rb 3.26
V1 0.3333 0.6667 0.0000  2 V 3.26, 3 Mg 3.32

Summary:
E_tot, eV/atom: -2.82
Volume, Å³ per cell: 93
Energy above the lowest structure with this stoichiometry, meV per atom: 572
Magnetization, μB per cell: 3.99
Energy relative to the elements, eV/atom: 1.07

=====

Entry 6:
Entry from Alexandria: a relaxed structure of RbMgV (PBE-GGA).

Cell: 5.4798 5.4798 5.4798 Å, 60.00 60.00 60.00°
Last column: nearest neighbours and their distance in Å.
Element x y z (fractional)
Mg1 0.7500 0.7500 0.7500  4 V 3.36
Rb1 0.2500 0.2500 0.2500  4 V 3.36
V1 0.5000 0.5000 0.5000  4 Mg 3.36, 4 Rb 3.36

Summary:
E_tot, eV/atom: -2.62
Volume, Å³ per cell: 116
Energy above the lowest structure with this stoichiometry, meV per atom: 777
Magnetization, μB per cell: 4.46
Energy relative to the elements, eV/atom: 1.28

=====

Entry 7:
Entry from Alexandria: a relaxed structure of Rb2MgVW (PBE-GGA).

Cell: 6.8222 4.4240 6.8222 Å, 90.00 90.00 90.00°
Last column: nearest neighbours and their distance in Å.
Element x y z (fractional)
Mg1 0.5000 0.5000 0.5000  8 Rb 4.07, 2 Mg 4.42
Rb1 0.0000 0.0000 0.5000  2 V 3.41
Rb2 0.5000 0.0000 0.0000  2 V 3.41
W1 0.0000 0.5000 0.0000  2 V 2.21
V1 0.0000 0.0000 0.0000  2 W 2.21

Summary:
E_tot, eV/atom: -3.53
Volume, Å³ per cell: 206
Magnetization, μB per cell: 0.00
Energy relative to the elements, eV/atom: 1.59

=====

Entry 8:
Entry from Alexandria: a relaxed structure of RbMg2W (PBE-GGA).

Cell: 5.8154 5.8154 10.5874 Å, 74.06 74.06 90.00°
Last column: nearest neighbours and their distance in Å.
Element x y z (fractional)
Mg1 0.8758 0.1250 0.2500  2 W 2.84, 2 Mg 2.91
Mg2 0.8742 0.6250 0.2500  2 W 2.84, 2 Mg 2.91
Mg3 0.3750 0.1242 0.7500  2 W 2.84, 2 Mg 2.91
Mg4 0.8750 0.1258 0.7500  2 W 2.84, 2 Mg 2.91
Rb1 0.5000 0.5000 0.0000  8 Mg 4.06-4.07, 4 W 4.11
Rb2 0.2500 0.7500 0.5000  8 Mg 4.06-4.07, 4 W 4.11
W1 0.0000 0.0000 0.0000  4 Mg 2.84
W2 0.7500 0.2500 0.5000  4 Mg 2.84

Summary:
E_tot, eV/atom: -2.81
Volume, Å³ per cell: 330
Energy above the lowest structure with this stoichiometry, meV per atom: 153
Magnetization, μB per cell: 7.47
Energy relative to the elements, eV/atom: 1.47

=====

Entry 9:
Entry from Alexandria: a relaxed structure of Rb2MgW2 (PBE-GGA).

Cell: 10.8901 10.8901 2.9484 Å, 90.00 90.00 90.00°
Last column: nearest neighbours and their distance in Å.
Element x y z (fractional)
Mg1 0.0000 0.0000 0.0000  2 Mg 2.95
Mg2 0.5000 0.5000 0.0000  2 Mg 2.95
Rb1 0.2905 0.7905 0.0000  2 Rb 2.95
Rb2 0.7905 0.7095 0.0000  2 Rb 2.95
Rb3 0.7095 0.2095 0.0000  2 Rb 2.95
Rb4 0.2095 0.2905 0.0000  2 Rb 2.95
W1 0.0726 0.5726 0.5000  1 W 2.24
W2 0.5726 0.9274 0.5000  1 W 2.24
W3 0.9274 0.4274 0.5000  1 W 2.24
W4 0.4274 0.0726 0.5000  1 W 2.24

Summary:
E_tot, eV/atom: -4.27
Volume, Å³ per cell: 350
Energy above the lowest structure with this stoichiometry, meV per atom: 526
Magnetization, μB per cell: 0.00
Energy relative to the elements, eV/atom: 1.62

=====

Entry 10:
Entry from Alexandria: a relaxed structure of RbMg3W (PBE-GGA).

Cell: 5.5349 5.5349 5.5349 Å, 90.00 90.00 90.00°
Last column: nearest neighbours and their distance in Å.
Element x y z (fractional)
Mg1 0.0000 0.5000 0.0000  2 W 2.77
Mg2 0.0000 0.0000 0.5000  2 W 2.77
Mg3 0.5000 0.0000 0.0000  2 W 2.77
Rb1 0.5000 0.5000 0.5000  12 Mg 3.91
W1 0.0000 0.0000 0.0000  6 Mg 2.77

Summary:
E_tot, eV/atom: -2.77
Volume, Å³ per cell: 170
Energy above the lowest structure with this stoichiometry, meV per atom: 0
Magnetization, μB per cell: 3.15
Energy relative to the elements, eV/atom: 0.97